(1)
This record from Alexandria describes a relaxed LaReAuCl2 crystal. The functional is PBE.

Calculated values
* crystal system: tetragonal
* density of states at the Fermi level: 2.8 states/eV/cell
* formation energy without anion corrections: 1.91 eV per formula unit
* magnetization: 4.6 Bohr magnetons per cell

abc: 5.342 6.476 5.342
angles: 90.00 90.00 90.00
Each line ends with the local moment (μB).
Fractional coordinates of all 5 atoms:
Cl (0.000, 0.000, 0.500)  0.01
Cl (0.500, 0.000, 0.000)  0.03
Re (0.000, 0.500, 0.000)  3.57
La (0.000, 0.000, 0.000)  -0.03
Au (0.500, 0.500, 0.500)  0.07

(2)
This record from Alexandria describes a relaxed La3RhAuCl crystal. The functional is PBE.

Calculated values
* crystal system: monoclinic
* density of states at the Fermi level: 7.1 states/eV/cell
* formation energy without anion corrections: -5.72 eV per formula unit
* magnetization: 0.0 Bohr magnetons per cell

abc: 4.315 8.302 9.772
angles: 102.12 90.00 90.00
Fractional coordinates of all 12 atoms:
La (0.250, 0.563, 0.842)
La (0.250, 0.709, 0.468)
La (0.750, 0.291, 0.532)
La (0.250, 0.110, 0.881)
La (0.750, 0.890, 0.119)
La (0.750, 0.437, 0.158)
Cl (0.750, 0.911, 0.406)
Cl (0.250, 0.089, 0.594)
Au (0.250, 0.220, 0.257)
Au (0.750, 0.780, 0.743)
Rh (0.750, 0.330, 0.862)
Rh (0.250, 0.670, 0.138)

(3)
This record from Alexandria describes a relaxed La8Rh3AuCl4 crystal. The functional is PBE.

Calculated values
* crystal system: trigonal
* density of states at the Fermi level: 10.0 states/eV/cell
* formation energy without anion corrections: -19.91 eV per formula unit
* magnetization: 0.0 Bohr magnetons per cell

abc: 8.441 9.040 8.443
angles: 117.85 119.99 90.00
Fractional coordinates of all 16 atoms:
Cl (0.000, 0.000, 0.500)
Cl (0.500, 0.000, 0.000)
Cl (0.500, 0.000, 0.500)
Cl (0.000, 0.000, 0.000)
La (0.722, 0.708, 0.965)
La (0.243, 0.708, 0.485)
La (0.737, 0.709, 0.473)
La (0.278, 0.292, 0.035)
La (0.757, 0.292, 0.515)
La (0.757, 0.292, 0.035)
La (0.243, 0.708, 0.965)
La (0.263, 0.291, 0.527)
Au (0.000, 0.500, 0.000)
Rh (0.500, 0.500, 0.000)
Rh (0.000, 0.500, 0.500)
Rh (0.500, 0.500, 0.500)

(4)
This record from Alexandria describes a relaxed La4RuAu2Cl crystal. The functional is PBE.

Calculated values
* crystal system: orthorhombic
* density of states at the Fermi level: 13.1 states/eV/cell
* formation energy without anion corrections: -6.89 eV per formula unit
* magnetization: 0.0 Bohr magnetons per cell

abc: 8.653 8.653 8.542
angles: 119.59 119.59 89.21
Fractional coordinates of all 16 atoms:
La (0.769, 0.731, 0.497)
La (0.228, 0.723, 0.976)
La (0.223, 0.728, 0.476)
La (0.777, 0.272, 0.524)
La (0.769, 0.731, 0.003)
La (0.231, 0.269, 0.997)
La (0.231, 0.269, 0.503)
La (0.772, 0.277, 0.024)
Au (0.500, 0.500, 0.000)
Au (0.500, 0.000, 0.500)
Au (0.000, 0.000, 0.500)
Au (0.500, 0.000, 0.000)
Ru (0.000, 0.500, 0.500)
Ru (0.000, 0.500, 0.000)
Cl (0.500, 0.500, 0.500)
Cl (0.000, 0.000, 0.000)

(5)
This record from Alexandria describes a relaxed La8Ru3AuCl4 crystal. The functional is PBE.

Calculated values
* crystal system: trigonal
* density of states at the Fermi level: 6.7 states/eV/cell
* formation energy without anion corrections: -17.43 eV per formula unit
* magnetization: 0.0 Bohr magnetons per cell

abc: 8.376 9.065 8.376
angles: 117.53 120.00 90.00
Fractional coordinates of all 16 atoms:
Ru (0.500, 0.500, 0.000)
Ru (0.500, 0.500, 0.500)
Ru (0.000, 0.500, 0.500)
Cl (0.500, 0.000, 0.500)
Cl (0.000, 0.000, 0.500)
Cl (0.500, 0.000, 0.000)
Cl (0.000, 0.000, 0.000)
La (0.756, 0.295, 0.040)
La (0.755, 0.295, 0.511)
La (0.716, 0.705, 0.960)
La (0.245, 0.705, 0.489)
La (0.263, 0.291, 0.527)
La (0.737, 0.709, 0.473)
La (0.244, 0.705, 0.960)
La (0.284, 0.295, 0.040)
Au (0.000, 0.500, 0.000)

(6)
This record from Alexandria describes a relaxed La4RuAuCl2 crystal. The functional is PBE.

Calculated values
* crystal system: monoclinic
* density of states at the Fermi level: 4.9 states/eV/cell
* formation energy without anion corrections: -8.96 eV per formula unit
* magnetization: 0.0 Bohr magnetons per cell

abc: 4.229 8.004 7.429
angles: 71.80 90.00 90.00
Fractional coordinates of all 8 atoms:
Au (0.500, 0.500, 0.000)
La (0.500, 0.709, 0.274)
La (0.500, 0.291, 0.726)
La (0.000, 0.290, 0.265)
La (0.000, 0.710, 0.735)
Cl (0.500, 0.000, 0.500)
Cl (0.000, 0.000, 0.000)
Ru (0.000, 0.500, 0.500)

(7)
This record from Alexandria describes a relaxed La6AuS2Cl3 crystal. The functional is PBE.

Calculated values
* crystal system: monoclinic
* density of states at the Fermi level: 9.8 states/eV/cell
* formation energy without anion corrections: -19.64 eV per formula unit
* magnetization: 0.0 Bohr magnetons per cell

abc: 7.317 7.317 7.265
angles: 99.57 99.57 120.09
Fractional coordinates of all 12 atoms:
Cl (0.500, 0.500, 0.500)
Cl (0.843, 0.157, 0.500)
Cl (0.157, 0.843, 0.500)
La (0.730, 0.730, 0.235)
La (0.270, 0.270, 0.765)
La (0.572, 0.920, 0.757)
La (0.920, 0.572, 0.757)
La (0.428, 0.080, 0.243)
La (0.080, 0.428, 0.243)
S (0.332, 0.668, 0.000)
S (0.668, 0.332, 0.000)
Au (0.000, 0.000, 0.000)

(8)
This record from Alexandria describes a relaxed La4AuSCl2 crystal. The functional is PBE.

Calculated values
* crystal system: monoclinic
* density of states at the Fermi level: 5.7 states/eV/cell
* formation energy without anion corrections: -12.14 eV per formula unit
* magnetization: 0.0 Bohr magnetons per cell

abc: 4.263 7.285 7.423
angles: 69.98 90.00 90.00
Fractional coordinates of all 8 atoms:
Cl (0.000, 0.000, 0.000)
Cl (0.500, 0.000, 0.500)
La (0.000, 0.748, 0.740)
La (0.500, 0.261, 0.732)
La (0.000, 0.252, 0.260)
La (0.500, 0.739, 0.268)
Au (0.500, 0.500, 0.000)
S (0.000, 0.500, 0.500)

(9)
This record from Alexandria describes a relaxed LaScAu2Cl crystal. The functional is PBE.

Calculated values
* crystal system: tetragonal
* density of states at the Fermi level: 6.4 states/eV/cell
* formation energy without anion corrections: -0.78 eV per formula unit
* magnetization: 1.6 Bohr magnetons per cell

abc: 5.626 5.292 5.626
angles: 90.00 90.00 90.00
Each line ends with the local moment (μB).
Fractional coordinates of all 5 atoms:
Au (0.500, 0.000, 0.000)  0.01
Au (0.000, 0.000, 0.500)  0.01
Cl (0.000, 0.500, 0.000)  0.02
Sc (0.500, 0.500, 0.500)  0.87
La (0.000, 0.000, 0.000)  0.06

(10)
This record from Alexandria describes a relaxed La4AuSeCl2 crystal. The functional is PBE.

Calculated values
* crystal system: monoclinic
* density of states at the Fermi level: 6.1 states/eV/cell
* formation energy without anion corrections: -11.81 eV per formula unit
* magnetization: 0.0 Bohr magnetons per cell

abc: 4.321 7.249 7.562
angles: 69.70 90.00 90.00
Fractional coordinates of all 8 atoms:
La (0.000, 0.752, 0.748)
La (0.500, 0.248, 0.745)
La (0.500, 0.752, 0.255)
La (0.000, 0.248, 0.252)
Au (0.500, 0.500, 0.000)
Se (0.000, 0.500, 0.500)
Cl (0.500, 0.000, 0.500)
Cl (0.000, 0.000, 0.000)

(11)
This record from Alexandria describes a relaxed La4AuSe2Cl crystal. The functional is PBE.

Calculated values
* crystal system: monoclinic
* density of states at the Fermi level: 5.6 states/eV/cell
* formation energy without anion corrections: -12.68 eV per formula unit
* magnetization: 0.0 Bohr magnetons per cell

abc: 4.248 7.611 7.464
angles: 70.91 90.00 90.00
Fractional coordinates of all 8 atoms:
Se (0.000, 0.000, 0.000)
Se (0.500, 0.000, 0.500)
La (0.000, 0.249, 0.248)
La (0.500, 0.242, 0.753)
La (0.000, 0.751, 0.752)
La (0.500, 0.758, 0.247)
Au (0.500, 0.500, 0.000)
Cl (0.000, 0.500, 0.500)

(12)
This record from Alexandria describes a relaxed La4SiAuCl2 crystal. The functional is PBE.

Calculated values
* crystal system: monoclinic
* density of states at the Fermi level: 7.1 states/eV/cell
* formation energy without anion corrections: -9.62 eV per formula unit
* magnetization: 0.0 Bohr magnetons per cell

abc: 4.344 7.204 7.708
angles: 70.21 90.00 90.00
Fractional coordinates of all 8 atoms:
La (0.500, 0.744, 0.261)
La (0.000, 0.746, 0.743)
La (0.000, 0.254, 0.257)
La (0.500, 0.256, 0.739)
Cl (0.000, 0.000, 0.000)
Cl (0.500, 0.000, 0.500)
Au (0.500, 0.500, 0.000)
Si (0.000, 0.500, 0.500)

(13)
This record from Alexandria describes a relaxed La6Si2AuCl3 crystal. The functional is PBE.

Calculated values
* crystal system: monoclinic
* density of states at the Fermi level: 9.2 states/eV/cell
* formation energy without anion corrections: -14.63 eV per formula unit
* magnetization: 0.0 Bohr magnetons per cell

abc: 4.360 8.585 9.549
angles: 100.02 103.20 90.00
Fractional coordinates of all 12 atoms:
Si (0.166, 0.335, 0.332)
Si (0.834, 0.665, 0.668)
La (0.670, 0.577, 0.339)
La (0.667, 0.098, 0.335)
La (0.004, 0.253, 0.008)
La (0.330, 0.423, 0.661)
La (0.996, 0.747, 0.992)
La (0.333, 0.902, 0.665)
Au (0.500, 0.000, 0.000)
Cl (0.832, 0.164, 0.664)
Cl (0.168, 0.836, 0.336)
Cl (0.500, 0.500, 0.000)

(14)
This record from Alexandria describes a relaxed La3TeAuCl crystal. The functional is PBE.

Calculated values
* crystal system: monoclinic
* density of states at the Fermi level: 12.3 states/eV/cell
* formation energy without anion corrections: -7.07 eV per formula unit
* magnetization: 0.1 Bohr magnetons per cell

abc: 4.434 8.823 9.973
angles: 104.15 90.00 90.00
Fractional coordinates of all 12 atoms:
Au (0.750, 0.349, 0.853)
Au (0.250, 0.651, 0.147)
La (0.250, 0.735, 0.487)
La (0.750, 0.265, 0.513)
La (0.250, 0.576, 0.825)
La (0.250, 0.111, 0.890)
La (0.750, 0.889, 0.110)
La (0.750, 0.424, 0.175)
Cl (0.250, 0.095, 0.600)
Cl (0.750, 0.905, 0.400)
Te (0.250, 0.175, 0.239)
Te (0.750, 0.825, 0.761)

(15)
This record from Alexandria describes a relaxed LaW2AuCl crystal. The functional is PBE.

Calculated values
* crystal system: tetragonal
* density of states at the Fermi level: 8.7 states/eV/cell
* formation energy without anion corrections: 7.53 eV per formula unit
* magnetization: 2.7 Bohr magnetons per cell

abc: 4.910 6.075 4.910
angles: 90.00 90.00 90.00
Each line ends with the local moment (μB).
Fractional coordinates of all 5 atoms:
W (0.500, 0.000, 0.000)  0.97
W (0.000, 0.000, 0.500)  1.01
Au (0.000, 0.000, 0.000)  0.04
Cl (0.500, 0.500, 0.500)  0.09
La (0.000, 0.500, 0.000)  -0.04

(16)
This record from Alexandria describes a relaxed LiAuCl2 crystal. The functional is PBE.

Calculated values
* crystal system: cubic
* density of states at the Fermi level: 0.0 states/eV/cell
* polymorph energy (0 for the lowest one): 1.68 eV per formula unit
* formation energy without anion corrections: -2.30 eV per formula unit
* magnetization: 0.0 Bohr magnetons per cell

abc: 4.776 4.776 4.776
angles: 60.00 60.00 60.00
Fractional coordinates of all 4 atoms:
Cl (0.750, 0.750, 0.750)
Cl (0.250, 0.250, 0.250)
Au (0.500, 0.500, 0.500)
Li (0.000, 0.000, 0.000)

(17)
This record from Alexandria describes a relaxed Li3Au5Cl12 crystal. The functional is PBE.

Calculated values
* crystal system: cubic
* density of states at the Fermi level: 41.1 states/eV/cell
* formation energy without anion corrections: -10.80 eV per formula unit
* magnetization: 0.0 Bohr magnetons per cell

abc: 14.070 14.070 14.070
angles: 109.47 109.47 109.47
Fractional coordinates of all 80 atoms:
Cl (0.656, 0.494, 0.652)
Cl (0.004, 0.848, 0.343)
Cl (0.496, 0.339, 0.344)
Cl (0.339, 0.843, 0.994)
Cl (0.344, 0.839, 0.496)
Cl (0.994, 0.343, 0.339)
Cl (0.996, 0.844, 0.839)
Cl (0.843, 0.504, 0.848)
Cl (0.844, 0.996, 0.339)
Cl (0.152, 0.156, 0.494)
Cl (0.652, 0.657, 0.496)
Cl (0.839, 0.494, 0.343)
Cl (0.994, 0.652, 0.156)
Cl (0.506, 0.344, 0.848)
Cl (0.506, 0.161, 0.157)
Cl (0.006, 0.348, 0.844)
Cl (0.848, 0.004, 0.843)
Cl (0.339, 0.496, 0.844)
Cl (0.006, 0.657, 0.661)
Cl (0.661, 0.157, 0.006)
Cl (0.844, 0.848, 0.006)
Cl (0.161, 0.506, 0.657)
Cl (0.657, 0.006, 0.161)
Cl (0.504, 0.843, 0.348)
Cl (0.348, 0.343, 0.504)
Cl (0.157, 0.661, 0.506)
Cl (0.839, 0.344, 0.996)
Cl (0.657, 0.652, 0.996)
Cl (0.496, 0.157, 0.652)
Cl (0.157, 0.496, 0.152)
Cl (0.344, 0.506, 0.348)
Cl (0.494, 0.656, 0.152)
Cl (0.343, 0.348, 0.004)
Cl (0.843, 0.339, 0.494)
Cl (0.156, 0.152, 0.994)
Cl (0.656, 0.161, 0.504)
Cl (0.661, 0.504, 0.156)
Cl (0.494, 0.839, 0.843)
Cl (0.156, 0.004, 0.661)
Cl (0.152, 0.996, 0.157)
Cl (0.343, 0.994, 0.839)
Cl (0.161, 0.656, 0.004)
Cl (0.652, 0.994, 0.656)
Cl (0.504, 0.661, 0.656)
Cl (0.348, 0.006, 0.344)
Cl (0.004, 0.156, 0.161)
Cl (0.848, 0.844, 0.506)
Cl (0.996, 0.152, 0.657)
Au (0.500, 0.000, 0.000)
Au (0.000, 0.000, 0.500)
Au (0.875, 0.250, 0.625)
Au (0.750, 0.625, 0.375)
Au (0.500, 0.500, 0.000)
Au (0.375, 0.250, 0.125)
Au (0.500, 0.500, 0.500)
Au (0.250, 0.375, 0.625)
Au (0.125, 0.375, 0.250)
Au (0.000, 0.500, 0.000)
Au (0.500, 0.000, 0.500)
Au (0.625, 0.875, 0.250)
Au (0.750, 0.125, 0.875)
Au (0.250, 0.875, 0.125)
Au (0.000, 0.500, 0.500)
Au (0.625, 0.750, 0.875)
Au (0.125, 0.750, 0.375)
Au (0.875, 0.625, 0.750)
Au (0.375, 0.125, 0.750)
Au (0.000, 0.000, 0.000)
Li (0.375, 0.750, 0.625)
Li (0.125, 0.250, 0.875)
Li (0.125, 0.875, 0.750)
Li (0.250, 0.625, 0.875)
Li (0.375, 0.625, 0.250)
Li (0.750, 0.375, 0.125)
Li (0.750, 0.875, 0.625)
Li (0.625, 0.375, 0.750)
Li (0.250, 0.125, 0.375)
Li (0.875, 0.125, 0.250)
Li (0.625, 0.250, 0.375)
Li (0.875, 0.750, 0.125)

(18)
This record from Alexandria describes a relaxed LiAuCl2 crystal. The functional is PBE.

Calculated values
* crystal system: tetragonal
* density of states at the Fermi level: 0.7 states/eV/cell
* polymorph energy (0 for the lowest one): 1.02 eV per formula unit
* formation energy without anion corrections: -2.95 eV per formula unit
* magnetization: 0.0 Bohr magnetons per cell

abc: 7.991 7.991 7.991
angles: 153.64 153.64 37.62
Fractional coordinates of all 4 atoms:
Au (0.750, 0.250, 0.500)
Cl (0.000, 0.000, 0.000)
Cl (0.250, 0.750, 0.500)
Li (0.500, 0.500, 0.000)

(19)
This record from Alexandria describes a relaxed LiAuCl crystal. The functional is PBE.

Calculated values
* crystal system: tetragonal
* density of states at the Fermi level: 0.2 states/eV/cell
* polymorph energy (0 for the lowest one): 0.88 eV per formula unit
* formation energy without anion corrections: -1.93 eV per formula unit
* magnetization: 0.0 Bohr magnetons per cell

abc: 6.769 6.768 3.110
angles: 76.73 76.70 26.57
Fractional coordinates of all 3 atoms:
Au (0.017, 0.017, 0.983)
Cl (0.270, 0.270, 0.730)
Li (0.714, 0.714, 0.286)

(20)
This record from Alexandria describes a relaxed LiAuCl2 crystal. The functional is PBE.

Calculated values
* crystal system: orthorhombic
* density of states at the Fermi level: 0.3 states/eV/cell
* polymorph energy (0 for the lowest one): 0.93 eV per formula unit
* formation energy without anion corrections: -3.04 eV per formula unit
* magnetization: 0.0 Bohr magnetons per cell

abc: 7.027 7.027 3.692
angles: 90.02 90.02 30.26
Fractional coordinates of all 4 atoms:
Li (0.523, 0.523, 0.625)
Cl (0.735, 0.735, 0.625)
Cl (0.008, 0.008, 0.125)
Au (0.234, 0.234, 0.125)